Entry 1:
Here is a relaxed structure of Na4PPt2N from OQMD via LeMat-Bulk. Energies are from PBE-GGA.

Computed properties:
* magnetization: 0.8 μB/f.u.
* E_tot: -66.27 eV per cell

Cell and atoms, written as CIF:
```
data_Na4PPt2N
_symmetry_space_group_name_H-M 'A m m 2'
_symmetry_Int_Tables_number 38
_cell_length_a 5.508
_cell_length_b 8.429
_cell_length_c 6.455
_cell_angle_alpha 90.00
_cell_angle_beta 90.00
_cell_angle_gamma 90.00
loop_
_symmetry_equiv_pos_as_xyz
'x,y,z'
'-x,-y,z'
'-x,y,z'
'x,-y,z'
'x,y+1/2,z+1/2'
'-x,-y+1/2,z+1/2'
'-x,y+1/2,z+1/2'
'x,-y+1/2,z+1/2'
loop_
_atom_site_label
_atom_site_type_symbol
_atom_site_fract_x
_atom_site_fract_y
_atom_site_fract_z
Na1 Na 0.000 0.179 0.000
Na2 Na 0.500 0.180 0.716
P1 P 0.500 0.000 0.089
Pt1 Pt 0.245 0.000 0.379
N1 N 0.000 0.000 0.610
```

=====

Entry 2:
Here is a relaxed structure of KLuAsSe3 from OQMD via LeMat-Bulk. Energies are from PBE-GGA.

Computed properties:
* magnetization: 0.0 μB/f.u.
* E_tot: -106.62 eV per cell

Cell and atoms, written as CIF:
```
data_KLuAsSe3
_symmetry_space_group_name_H-M 'C m c m'
_symmetry_Int_Tables_number 63
_symmetry_space_group_name_Hall '-C 2c 2'
_cell_length_a 4.311
_cell_length_b 15.520
_cell_length_c 11.272
_cell_angle_alpha 90.00
_cell_angle_beta 90.00
_cell_angle_gamma 90.00
loop_
_atom_site_label
_atom_site_type_symbol
_atom_site_fract_x
_atom_site_fract_y
_atom_site_fract_z
K1 K 0.000 0.225 0.250
Lu1 Lu 0.000 0.500 0.000
As1 As 0.000 0.098 0.750
Se1 Se 0.000 0.120 0.507
Se2 Se 0.000 0.486 0.250
```